1.
# CaLaCu2, relaxed, DFT PBE
data_CaLaCu2
_chemical_formula_sum 'Ca4 La4 Cu8'
_cell_length_a 5.450
_cell_length_b 5.450
_cell_length_c 16.614
_cell_angle_alpha 90.00
_cell_angle_beta 90.00
_cell_angle_gamma 90.00
_symmetry_space_group_name_H-M 'I -4 2 d'
_symmetry_Int_Tables_number 122
_symmetry_space_group_name_Hall 'I -4 2bw'
loop_
_atom_site_label
_atom_site_type_symbol
_atom_site_fract_x
_atom_site_fract_y
_atom_site_fract_z
Ca1 Ca 0.000 0.000 0.000
La1 La 0.000 0.000 0.500
Cu1 Cu 0.236 0.250 0.625
# Volume = 30.84 Å³/atom
# DOS at the Fermi energy = 0.912 states/eV per atom
# ΔE_f = 0.43 eV/atom
# Raw total energy = -0.12319 Ha/atom

=====

2.
# Ca3LaCu, relaxed, DFT PBE
data_Ca3LaCu
_chemical_formula_sum 'Ca3 La1 Cu1'
_cell_length_a 5.653
_cell_length_b 5.653
_cell_length_c 5.653
_cell_angle_alpha 90.00
_cell_angle_beta 90.00
_cell_angle_gamma 90.00
_symmetry_space_group_name_H-M 'P m -3 m'
_symmetry_Int_Tables_number 221
_symmetry_space_group_name_Hall '-P 4 2 3'
loop_
_atom_site_label
_atom_site_type_symbol
_atom_site_fract_x
_atom_site_fract_y
_atom_site_fract_z
Ca1 Ca 0.000 0.000 0.500
La1 La 0.500 0.500 0.500
Cu1 Cu 0.000 0.000 0.000
# Volume = 36.14 Å³/atom
# Relative energy among the computed polymorphs = 0.00 eV/f.u.
# DOS at the Fermi energy = 1.347 states/eV per atom
# ΔE_f = 0.11 eV/atom
# Raw total energy = -0.10650 Ha/atom

=====

3.
# CaLa2Cu2, relaxed, DFT PBE
data_CaLa2Cu2
_chemical_formula_sum 'Ca2 La4 Cu4'
_cell_length_a 8.307
_cell_length_b 8.307
_cell_length_c 3.948
_cell_angle_alpha 90.00
_cell_angle_beta 90.00
_cell_angle_gamma 90.00
_symmetry_space_group_name_H-M 'P 4/m b m'
_symmetry_Int_Tables_number 127
_symmetry_space_group_name_Hall '-P 4 2ab'
loop_
_atom_site_label
_atom_site_type_symbol
_atom_site_fract_x
_atom_site_fract_y
_atom_site_fract_z
Ca1 Ca 0.000 0.000 0.000
La1 La 0.159 0.341 0.500
Cu1 Cu 0.121 0.621 0.000
# Volume = 27.24 Å³/atom
# Relative energy among the computed polymorphs = 0.00 eV/f.u.
# DOS at the Fermi energy = 1.334 states/eV per atom
# ΔE_f = -0.11 eV/atom
# Raw total energy = -0.15140 Ha/atom

=====

4.
# CaLaCu10, relaxed, DFT PBE
data_CaLaCu10
_chemical_formula_sum 'Ca1 La1 Cu10'
_cell_length_a 4.082
_cell_length_b 5.167
_cell_length_c 8.874
_cell_angle_alpha 90.00
_cell_angle_beta 90.00
_cell_angle_gamma 90.00
_symmetry_space_group_name_H-M 'P m m m'
_symmetry_Int_Tables_number 47
loop_
_symmetry_equiv_pos_as_xyz
'x,y,z'
'-x,-y,-z'
'-x,-y,z'
'x,y,-z'
'x,-y,-z'
'-x,y,z'
'-x,y,-z'
'x,-y,z'
loop_
_atom_site_label
_atom_site_type_symbol
_atom_site_fract_x
_atom_site_fract_y
_atom_site_fract_z
Ca1 Ca 0.000 0.000 0.000
La1 La 0.000 0.500 0.500
Cu1 Cu 0.000 0.000 0.330
Cu2 Cu 0.000 0.500 0.162
Cu3 Cu 0.500 0.000 0.500
Cu4 Cu 0.500 0.250 0.249
Cu5 Cu 0.500 0.500 0.000
# Volume = 15.60 Å³/atom
# DOS at the Fermi energy = 0.484 states/eV per atom
# ΔE_f = -0.14 eV/atom
# Raw total energy = -0.15189 Ha/atom